1.
Here is an optimized crystal structure of La2YCu from the Alexandria database. Energies are from PBE.

Unit cell a=6.818 b=6.818 c=5.326 alpha=67.02 beta=67.02 gamma=30.78
Sites, in units of the cell vectors:
Cu  0.750  0.750  0.750
La  0.046  0.046  0.954
La  0.454  0.454  0.546
Y  0.250  0.250  0.250

Theoretical density   6.17 g cm⁻³
Energy above the most stable polymorph in this dataset   66.1 meV per atom
Space group   No. 71
Formation energy   -0.008 eV/atom


2.
Here is an optimized crystal structure of BaPuAlGe2 from the Alexandria database. Energies are from PBE.

Unit cell a=4.611 b=4.611 c=7.065 alpha=109.04 beta=109.04 gamma=90.00
Each line ends with the local moment (μB).
Sites, in units of the cell vectors:
Ba  0.000  0.000  0.000  0.02
Pu  0.750  0.250  0.500  5.18
Al  0.250  0.750  0.500  0.00
Ge  0.613  0.613  0.225  -0.04
Ge  0.387  0.387  0.775  -0.04

Theoretical density   6.90 g cm⁻³
Space group   No. 119
Formation energy   -0.353 eV/atom


3.
Here is an optimized crystal structure of Sm2ErPaP4 from the Alexandria database. Energies are from PBE.

Unit cell a=4.036 b=6.956 c=6.999 alpha=109.43 beta=90.00 gamma=90.00
Sites, in units of the cell vectors:
Sm  0.500  0.000  0.500
Sm  0.000  0.500  0.500
Er  0.000  0.000  0.000
Pa  0.500  0.500  0.000
P  0.500  0.250  0.238
P  0.500  0.750  0.762
P  0.000  0.256  0.762
P  0.000  0.744  0.238

Theoretical density   7.37 g cm⁻³
Space group   No. 10
Formation energy   -1.529 eV/atom


4.
Here is an optimized crystal structure of YTaIr2 from the Alexandria database. Energies are from PBE.

Unit cell a=3.037 b=4.549 c=5.463 alpha=90.00 beta=90.00 gamma=90.00
Sites, in units of the cell vectors:
Ir  0.000  0.000  0.924
Ir  0.500  0.500  0.319
Ta  0.000  0.000  0.448
Y  0.500  0.500  0.809

Theoretical density   14.39 g cm⁻³
Space group   No. 25
Formation energy   -0.282 eV/atom


5.
Here is an optimized crystal structure of Pm4Y9Er11 from the Alexandria database. Energies are from PBE.

Unit cell a=3.684 b=15.040 c=15.040 alpha=112.67 beta=90.00 gamma=90.00
Each line ends with the local moment (μB).
Sites, in units of the cell vectors:
Pm  0.500  0.553  0.754  0.00
Pm  0.500  0.447  0.246  0.00
Pm  0.500  0.754  0.553  0.00
Pm  0.500  0.246  0.447  0.00
Y  0.500  0.633  0.162  0.08
Y  0.500  0.367  0.838  0.08
Y  0.500  0.162  0.633  0.08
Y  0.500  0.838  0.367  0.08
Y  0.500  0.787  0.933  0.00
Y  0.500  0.213  0.067  0.00
Y  0.500  0.933  0.787  0.00
Y  0.500  0.067  0.213  0.00
Y  0.500  0.500  0.500  0.00
Er  0.000  0.592  0.955  0.07
Er  0.000  0.408  0.045  0.07
Er  0.000  0.955  0.592  0.07
Er  0.000  0.045  0.408  0.07
Er  0.000  0.635  0.365  0.00
Er  0.000  0.365  0.635  0.00
Er  0.000  0.841  0.159  0.02
Er  0.000  0.159  0.841  0.02
Er  0.000  0.000  0.000  0.02
Er  0.000  0.711  0.711  0.01
Er  0.000  0.289  0.289  0.01

Theoretical density   6.95 g cm⁻³
Space group   No. 65
Formation energy   0.049 eV/atom


6.
Here is an optimized crystal structure of RbPPtO2 from the Alexandria database. Energies are from PBE.

Unit cell a=4.416 b=4.416 c=4.480 alpha=90.00 beta=90.00 gamma=90.00
Each line ends with the local moment (μB).
Sites, in units of the cell vectors:
O  0.000  0.500  0.000  0.20
O  0.500  0.000  0.000  0.20
P  0.000  0.000  0.500  0.01
Rb  0.500  0.500  0.500  0.00
Pt  0.000  0.000  0.000  0.17

Theoretical density   6.53 g cm⁻³
Energy above the most stable polymorph in this dataset   0.0 meV per atom
Space group   No. 123


7.
Here is an optimized crystal structure of Ba2CaRe from the Alexandria database. Energies are from PBE.

Unit cell a=5.789 b=5.789 c=8.683 alpha=71.86 beta=71.86 gamma=37.48
Each line ends with the local moment (μB).
Sites, in units of the cell vectors:
Re  0.288  0.288  0.374  0.77
Ca  0.563  0.563  0.376  0.01
Ba  0.903  0.903  0.073  0.00
Ba  0.745  0.745  0.677  -0.01

Theoretical density   4.98 g cm⁻³
Energy above the most stable polymorph in this dataset   9.6 meV per atom
Space group   No. 8
Formation energy   0.786 eV/atom


8.
Here is an optimized crystal structure of Zn12Cu5Au2 from the Alexandria database. Energies are from PBE.

Unit cell a=5.508 b=7.513 c=8.180 alpha=104.36 beta=90.00 gamma=111.50
Sites, in units of the cell vectors:
Zn  0.109  0.218  0.306
Zn  0.045  0.592  0.876
Zn  0.547  0.592  0.876
Zn  0.119  0.714  0.392
Zn  0.595  0.714  0.392
Zn  0.474  0.948  0.672
Zn  0.526  0.052  0.328
Zn  0.881  0.286  0.608
Zn  0.405  0.286  0.608
Zn  0.955  0.408  0.124
Zn  0.453  0.408  0.124
Zn  0.891  0.782  0.694
Cu  0.287  0.574  0.602
Cu  0.362  0.724  0.131
Cu  0.000  0.000  0.500
Cu  0.638  0.276  0.869
Cu  0.713  0.426  0.398
Au  0.752  0.000  0.000
Au  0.248  0.000  0.000

Theoretical density   8.19 g cm⁻³
Space group   No. 12
Formation energy   0.050 eV/atom


9.
Here is an optimized crystal structure of Sm2DyCd from the Alexandria database. Energies are from PBE.

Unit cell a=3.603 b=3.603 c=11.196 alpha=80.74 beta=80.74 gamma=60.00
Sites, in units of the cell vectors:
Cd  0.000  0.000  0.000
Sm  0.255  0.255  0.236
Sm  0.745  0.745  0.764
Dy  0.500  0.500  0.500

Theoretical density   7.73 g cm⁻³
Energy above the most stable polymorph in this dataset   79.5 meV per atom
Space group   No. 166
Formation energy   -0.061 eV/atom


10.
Here is an optimized crystal structure of NbCuPb2I from the Alexandria database. Energies are from PBE.

Unit cell a=6.042 b=5.140 c=6.042 alpha=90.00 beta=90.00 gamma=90.00
Each line ends with the local moment (μB).
Sites, in units of the cell vectors:
Pb  0.000  0.000  0.500  -0.02
Pb  0.500  0.000  0.000  -0.05
I  0.000  0.000  0.000  -0.01
Nb  0.000  0.500  0.000  1.72
Cu  0.500  0.500  0.500  0.01

Theoretical density   6.17 g cm⁻³
Space group   No. 123
Total DFT energy (no corrections)   -15.69 eV for the cell shown


11.
Here is an optimized crystal structure of CaTl3Co from the Alexandria database. Energies are from PBE.

Unit cell a=5.890 b=5.890 c=5.890 alpha=90.00 beta=90.00 gamma=90.00
Each line ends with the local moment (μB).
Sites, in units of the cell vectors:
Tl  0.000  0.500  0.000  0.00
Tl  0.000  0.000  0.500  0.00
Tl  0.500  0.000  0.000  -0.02
Co  0.500  0.500  0.500  2.20
Ca  0.000  0.000  0.000  -0.02

Theoretical density   5.79 g cm⁻³
Energy above the most stable polymorph in this dataset   1079.8 meV per atom
Space group   No. 221
Formation energy   1.147 eV/atom


12.
Here is an optimized crystal structure of Li2BiAu from the Alexandria database. Energies are from PBE.

Unit cell a=3.316 b=3.316 c=7.073 alpha=90.00 beta=90.00 gamma=90.00
Sites, in units of the cell vectors:
Au  0.500  0.500  0.000
Bi  0.500  0.500  0.500
Li  0.000  0.000  0.795
Li  0.000  0.000  0.205

Theoretical density   8.96 g cm⁻³
Space group   No. 123
Formation energy   -0.443 eV/atom


13.
Here is an optimized crystal structure of BiF4 from the Alexandria database. Energies are from PBE.

Unit cell a=4.466 b=4.466 c=4.466 alpha=90.00 beta=90.00 gamma=90.00
Each line ends with the local moment (μB).
Sites, in units of the cell vectors:
Bi  0.500  0.500  0.500  0.00
F  0.000  0.000  0.000  0.56
F  0.500  0.000  0.500  0.01
F  0.000  0.500  0.500  0.01
F  0.500  0.500  0.000  0.01

Theoretical density   5.31 g cm⁻³
Energy above the most stable polymorph in this dataset   218.9 meV per atom
Space group   No. 221


14.
Here is an optimized crystal structure of Ba6Ho2Al2Rh2O15 from the Alexandria database. Energies are from PBE.

Unit cell a=5.942 b=5.942 c=14.896 alpha=90.00 beta=90.00 gamma=120.14
Each line ends with the local moment (μB).
Sites, in units of the cell vectors:
Ba  0.329  0.671  0.190  0.00
Ba  0.329  0.671  0.810  0.00
Ba  0.009  0.991  0.000  0.00
Ba  0.663  0.337  0.646  0.00
Ba  0.663  0.337  0.354  0.00
Ba  0.986  0.014  0.500  0.01
Ho  0.996  0.004  0.248  0.02
Ho  0.996  0.004  0.752  0.02
Al  0.663  0.337  0.115  0.00
Al  0.663  0.337  0.885  0.00
Rh  0.323  0.677  0.584  0.60
Rh  0.323  0.677  0.416  0.60
O  0.834  0.656  0.160  0.00
O  0.831  0.169  0.144  0.00
O  0.344  0.166  0.160  0.00
O  0.834  0.656  0.840  0.00
O  0.831  0.169  0.856  0.00
O  0.344  0.166  0.840  0.00
O  0.169  0.831  0.330  0.10
O  0.651  0.827  0.340  0.06
O  0.173  0.349  0.340  0.06
O  0.169  0.831  0.670  0.10
O  0.651  0.827  0.660  0.06
O  0.173  0.349  0.660  0.06
O  0.630  0.370  0.000  0.00
O  0.002  0.530  0.500  0.04
O  0.470  0.998  0.500  0.04

Theoretical density   6.04 g cm⁻³
Space group   No. 38
Total DFT energy (no corrections)   -186.15 eV for the cell shown


15.
Here is an optimized crystal structure of CuAg2Cl from the Alexandria database. Energies are from PBE.

Unit cell a=6.867 b=6.867 c=6.867 alpha=153.72 beta=147.77 gamma=42.05
Sites, in units of the cell vectors:
Cu  0.250  0.750  0.500
Ag  0.055  0.055  0.000
Ag  0.445  0.445  0.000
Cl  0.750  0.250  0.500

Theoretical density   6.85 g cm⁻³
Energy above the most stable polymorph in this dataset   208.7 meV per atom
Space group   No. 71


16.
Here is an optimized crystal structure of In3IrCl from the Alexandria database. Energies are from PBE.

Unit cell a=23.116 b=6.084 c=8.940 alpha=90.00 beta=158.54 gamma=90.00
Sites, in units of the cell vectors:
Cl  0.047  0.249  0.540
Cl  0.953  0.751  0.460
Cl  0.453  0.749  0.960
Cl  0.547  0.251  0.040
Ir  0.516  0.749  0.558
Ir  0.484  0.251  0.442
Ir  0.984  0.249  0.942
Ir  0.016  0.751  0.058
In  0.247  0.007  0.744
In  0.753  0.993  0.256
In  0.253  0.507  0.756
In  0.747  0.493  0.244
In  0.351  0.498  0.363
In  0.649  0.502  0.637
In  0.149  0.998  0.137
In  0.851  0.002  0.863
In  0.354  0.003  0.370
In  0.646  0.997  0.630
In  0.146  0.503  0.130
In  0.854  0.497  0.870

Theoretical density   8.26 g cm⁻³
Energy above the most stable polymorph in this dataset   141.2 meV per atom
Space group   No. 14


17.
Here is an optimized crystal structure of YMnBe from the Alexandria database. Energies are from PBE.

Unit cell a=4.002 b=4.002 c=3.886 alpha=90.00 beta=90.00 gamma=120.00
Each line ends with the local moment (μB).
Sites, in units of the cell vectors:
Y  0.667  0.333  0.667  -0.28
Be  0.000  0.000  0.166  -0.14
Mn  0.333  0.667  0.167  2.98

Theoretical density   4.71 g cm⁻³
Energy above the most stable polymorph in this dataset   0.0 meV per atom
Space group   No. 187
Formation energy   0.118 eV/atom


18.
Here is an optimized crystal structure of Ga3Ni5Ge2 from the Alexandria database. Energies are from PBE.

Unit cell a=6.381 b=6.381 c=11.190 alpha=90.00 beta=90.00 gamma=144.34
Sites, in units of the cell vectors:
Ga  0.169  0.831  0.977
Ga  0.831  0.169  0.023
Ga  0.831  0.169  0.477
Ga  0.169  0.831  0.523
Ga  0.500  0.500  0.000
Ga  0.500  0.500  0.500
Ni  0.341  0.659  0.868
Ni  0.659  0.341  0.132
Ni  0.659  0.341  0.368
Ni  0.341  0.659  0.632
Ni  0.980  0.020  0.868
Ni  0.020  0.980  0.132
Ni  0.020  0.980  0.368
Ni  0.980  0.020  0.632
Ni  0.161  0.839  0.750
Ni  0.839  0.161  0.250
Ge  0.791  0.209  0.750
Ge  0.209  0.791  0.250
Ge  0.538  0.462  0.750
Ge  0.462  0.538  0.250

Theoretical density   8.10 g cm⁻³
Space group   No. 63
Formation energy   -0.360 eV/atom


19.
Here is an optimized crystal structure of AlGaAu from the Alexandria database. Energies are from PBE.

Unit cell a=3.728 b=3.728 c=4.654 alpha=113.61 beta=113.61 gamma=90.00
Sites, in units of the cell vectors:
Au  0.284  0.284  0.569
Al  0.946  0.946  0.892
Ga  0.619  0.619  0.239

Theoretical density   9.15 g cm⁻³
Space group   No. 107
Formation energy   -0.142 eV/atom


20.
Here is an optimized crystal structure of LiLa3Cr from the Alexandria database. Energies are from PBE.

Unit cell a=5.391 b=5.391 c=5.391 alpha=90.00 beta=90.00 gamma=90.00
Sites, in units of the cell vectors:
Cr  0.000  0.000  0.000
Li  0.500  0.500  0.500
La  0.000  0.500  0.000
La  0.000  0.000  0.500
La  0.500  0.000  0.000

Theoretical density   5.04 g cm⁻³
Energy above the most stable polymorph in this dataset   0.0 meV per atom
Space group   No. 221
Formation energy   0.311 eV/atom


Number 1: calculated volume 115.8 Å³/cell, magnetic moment 0.000 μB per cell. Number 2: calculated volume 133.2 Å³/cell, magnetic moment 5.379 μB per cell. Number 3: calculated volume 185.3 Å³/cell, magnetic moment 0.000 μB per cell. Number 4: calculated volume 75.5 Å³/cell, magnetic moment 0.000 μB per cell. Number 5: calculated volume 768.9 Å³/cell, magnetic moment 1.116 μB per cell. Number 6: calculated volume 87.4 Å³/cell, magnetic moment 0.654 μB per cell. Number 7: calculated volume 167.2 Å³/cell, magnetic moment 0.845 μB per cell. Number 8: calculated volume 303.6 Å³/cell, magnetic moment 0.000 μB per cell. Number 9: calculated volume 123.7 Å³/cell, magnetic moment 0.000 μB per cell. Number 10: calculated volume 187.7 Å³/cell, magnetic moment 2.091 μB per cell. Number 11: calculated volume 204.3 Å³/cell, magnetic moment 2.200 μB per cell. Number 12: calculated volume 77.8 Å³/cell, magnetic moment 0.000 μB per cell. Number 13: calculated volume 89.0 Å³/cell, magnetic moment 0.704 μB per cell. Number 14: calculated volume 454.8 Å³/cell, magnetic moment 2.058 μB per cell. Number 15: calculated volume 76.3 Å³/cell, magnetic moment 0.000 μB per cell. Number 16: calculated volume 460.0 Å³/cell, magnetic moment 0.000 μB per cell. Number 17: calculated volume 53.9 Å³/cell, magnetic moment 2.248 μB per cell. Number 18: calculated volume 265.6 Å³/cell, magnetic moment 0.000 μB per cell. Number 19: calculated volume 53.3 Å³/cell, magnetic moment 0.000 μB per cell. Number 20: calculated volume 156.7 Å³/cell, magnetic moment 0.000 μB per cell.